[1]
YReRu2 (PBE-GGA, relaxed); spin magnetization = 0.00 μB/f.u.
1.0
9.5110 -0.0065 -0.0038
9.0795 2.8322 -0.0038
9.0795 1.3801 2.4732
Re Ru Y
1 2 1
direct
0.7500 0.7500 0.7500
0.0086 0.0086 0.0086
0.4914 0.4914 0.4914
0.2500 0.2500 0.2500


[2]
YRe2Ru (PBE-GGA, relaxed); spin magnetization = 0.00 μB/f.u.
1.0
-1.4961 -2.3066 -3.2781
2.6565 -1.0586 -0.4675
0.1486 -4.8138 3.3194
Re Ru Y
2 1 1
direct
0.0000 0.0643 0.0489
0.5000 0.2147 0.2418
0.0000 0.4663 0.4665
0.5000 0.7547 0.7428


[3]
YReRu2 (PBE-GGA, relaxed); spin magnetization = 0.01 μB/f.u.
1.0
2.8708 0.0086 0.0000
-0.0090 2.8708 0.0000
0.0000 0.0000 8.2259
Re Ru Y
1 2 1
direct
0.5000 0.5000 0.7867
0.0000 0.0000 0.0017
0.5000 0.5000 0.2137
0.0000 0.0000 0.4980


[4]
Y3ReRu (PBE-GGA, relaxed); spin magnetization = 1.73 μB/f.u.
1.0
5.1724 0.0000 0.0000
0.0000 5.1724 0.0000
0.0000 0.0000 5.1724
Y Re Ru
3 1 1
direct
0.0000 0.5000 0.0000
0.0000 0.0000 0.5000
0.5000 0.0000 0.0000
0.5000 0.5000 0.5000
0.0000 0.0000 0.0000


[5]
YRe2Ru (PBE-GGA, relaxed); spin magnetization = 0.00 μB/f.u.
1.0
9.5299 0.0105 0.0062
9.0883 2.8676 0.0062
9.0883 1.4049 2.4998
Re Ru Y
2 1 1
direct
0.9912 0.9912 0.9912
0.2495 0.2495 0.2495
0.5081 0.5081 0.5081
0.7512 0.7512 0.7512


[6]
YReRu (PBE-GGA, relaxed); spin magnetization = 0.00 μB/f.u.
1.0
3.1493 0.0000 0.0000
0.0000 4.4643 0.0000
-1.5747 0.0000 7.9234
Ru Y Re
2 2 2
direct
0.6210 0.2500 0.2420
0.3790 0.7500 0.7580
0.9217 0.2500 0.8433
0.0783 0.7500 0.1567
0.2505 0.2500 0.5011
0.7495 0.7500 0.4989


[7]
YRe2Ru (PBE-GGA, relaxed); spin magnetization = 0.00 μB/f.u.
1.0
5.2329 -0.0037 0.0000
-2.5880 4.5481 0.0000
0.0000 0.0000 2.8815
Re Ru Y
2 1 1
direct
0.0000 0.0000 0.0000
0.5000 0.5000 0.0000
0.5000 0.0000 0.5000
0.0000 0.5000 0.5000


[8]
YRe2Ru (PBE-GGA, relaxed); spin magnetization = 0.01 μB/f.u.
1.0
-0.4714 1.0874 9.7093
2.2051 0.1273 9.5287
1.6617 2.9039 9.1914
Re Ru Y
2 1 1
direct
0.9899 0.9899 0.9899
0.5101 0.5101 0.5101
0.2500 0.2500 0.2500
0.7500 0.7500 0.7500


[9]
YRe2Ru (PBE-GGA, relaxed); spin magnetization = 0.00 μB/f.u.
1.0
7.6381 0.0000 0.0000
0.0000 7.6381 0.0000
3.8191 3.8191 2.6282
Y Re Ru
2 4 2
direct
0.5000 0.5000 0.0000
0.2500 0.7500 0.5000
0.6781 0.1250 0.2500
0.0719 0.6250 0.2500
0.3750 0.3219 0.7500
0.8750 0.9281 0.7500
0.0000 0.0000 0.0000
0.7500 0.2500 0.5000


[10]
YRe2Ru (PBE-GGA, relaxed); spin magnetization = 0.00 μB/f.u.
1.0
-0.4459 1.5333 -4.5029
0.7941 -3.5019 -1.2710
-3.7084 -0.8671 0.0720
Re Ru Y
2 1 1
direct
0.0000 0.0000 0.0000
0.0000 0.5000 0.5000
0.5000 0.5000 0.0000
0.5000 0.0000 0.5000


[11]
YReRu (PBE-GGA, relaxed); spin magnetization = 0.00 μB/f.u.
1.0
-1.2639 6.0353 -1.6453
-2.8824 5.6200 0.9151
2.0576 1.6321 1.5654
Re Ru Y
1 1 1
direct
0.0260 0.0260 0.9740
0.6402 0.6402 0.3598
0.3338 0.3338 0.6662


[12]
YRe2Ru (PBE-GGA, relaxed); spin magnetization = 0.00 μB/f.u.
1.0
-3.3514 -1.9421 -4.2850
-1.7366 -5.4910 -0.4452
0.1846 5.0012 2.8843
Re Ru Y
2 1 1
direct
0.9721 0.9721 0.0000
0.5279 0.5279 0.0000
0.7500 0.2500 0.5000
0.2500 0.7500 0.5000


[13]
YRe2Ru (PBE-GGA, relaxed); spin magnetization = 0.00 μB/f.u.
1.0
-3.5532 2.0773 -3.5693
0.8990 -1.1470 -5.2495
-1.0593 -1.9657 4.9694
Re Ru Y
2 1 1
direct
0.9701 0.9701 0.0000
0.7536 0.2536 0.5000
0.5249 0.5249 0.0000
0.2515 0.7515 0.5000


[14]
YRe2Ru (PBE-GGA, relaxed); spin magnetization = 0.00 μB/f.u.
1.0
-1.2754 2.8049 4.4634
-0.3738 -2.5487 4.7729
3.4629 0.3427 -4.1601
Re Ru Y
2 1 1
direct
0.0000 0.0000 0.0000
0.5000 0.5000 0.0000
0.2500 0.7500 0.5000
0.7500 0.2500 0.5000


[15]
YReRu2 (PBE-GGA, relaxed); spin magnetization = 0.00 μB/f.u.
1.0
5.1940 0.0153 0.0000
2.2057 4.7024 0.0000
-3.6998 -2.3588 2.7793
Re Ru Y
1 2 1
direct
0.7500 0.2500 0.5000
0.0000 0.0000 0.0000
0.2500 0.7500 0.5000
0.5000 0.5000 0.0000


[16]
YRe2Ru (PBE-GGA, relaxed); spin magnetization = 0.00 μB/f.u.
1.0
-2.5686 0.5325 1.0194
-1.2876 -3.1743 -1.5863
1.5181 -3.4202 5.6120
Re Ru Y
2 1 1
direct
0.0000 0.0000 0.0597
0.0000 0.0000 0.4403
0.5000 0.5000 0.2500
0.5000 0.5000 0.7500


[17]
YReRu2 (PBE-GGA, relaxed); spin magnetization = 0.00 μB/f.u.
1.0
4.6608 0.0000 0.0000
0.0000 3.1042 -0.1487
0.0000 0.3485 4.6717
Re Ru Y
1 2 1
direct
0.5000 0.7103 0.8604
0.0000 0.0993 0.8942
0.5000 0.0891 0.3587
0.0000 0.6013 0.3868


[18]
YReRu2 (PBE-GGA, relaxed); spin magnetization = 0.00 μB/f.u.
1.0
-1.2708 4.3310 1.5725
-2.2963 4.0382 -1.1247
-4.9094 -1.1017 1.9862
Re Ru Y
1 2 1
direct
0.2500 0.2500 0.2500
0.9882 0.9882 0.0571
0.5118 0.5118 0.4429
0.7500 0.7500 0.7500


[19]
YReRu (PBE-GGA, relaxed); spin magnetization = 2.68 μB/f.u.
1.0
4.5097 0.0000 0.0000
2.2548 3.9055 0.0000
2.2548 1.3018 3.6822
Re Ru Y
1 1 1
direct
0.0000 0.0000 0.0000
0.5000 0.5000 0.5000
0.2500 0.2500 0.2500


[20]
YRe3Ru (PBE-GGA, relaxed); spin magnetization = 0.00 μB/f.u.
1.0
4.7121 0.0000 0.0000
0.0000 4.7121 0.0000
0.0000 0.0000 4.7121
Y Re Ru
1 3 1
direct
0.5000 0.5000 0.5000
0.0000 0.5000 0.0000
0.0000 0.0000 0.5000
0.5000 0.0000 0.0000
0.0000 0.0000 0.0000


| no. | ΔE_f (kJ/mol of formula units) |
| --- | --- |
| 1 | 150 |
| 2 | 106 |
| 3 | 111 |
| 4 | 357 |
| 5 | 168 |
| 6 | 2 |
| 7 | 192 |
| 8 | 188 |
| 9 | 258 |
| 10 | 161 |
| 11 | 20 |
| 12 | 96 |
| 13 | 120 |
| 14 | 164 |
| 15 | 142 |
| 16 | 149 |
| 17 | 65 |
| 18 | 94 |
| 19 | 458 |
| 20 | 681 |